[1]
LaEr3Th: relaxed, GGA-PBE.

The structure in POSCAR format:
```
LaEr3Th
1.0
8.9619 -1.7139 0.0000
8.9619 1.7139 0.0000
-3.3481 0.0000 10.7684
La Er Th
2 6 2
direct
0.0984 0.0984 0.0545
0.9016 0.9016 0.9455
0.0079 0.0079 0.7305
0.1986 0.1986 0.3683
0.3023 0.3023 0.1392
0.6977 0.6977 0.8608
0.8014 0.8014 0.6317
0.9921 0.9921 0.2695
0.3995 0.3995 0.4593
0.6005 0.6005 0.5407
```

Computed properties:
relative energy among the computed polymorphs	0	meV per atom
calculated formation energy	0.1967	eV per atom
SG	C2/m (12)

***

[2]
PdW3Br: relaxed, GGA-PBE.

The structure in POSCAR format:
```
PdW3Br
1.0
4.5683 0.0000 0.0000
0.0000 4.5683 0.0000
0.0000 0.0000 4.5683
Pd W Br
1 3 1
direct
0.0000 0.0000 0.0000
0.0000 0.5000 0.5000
0.5000 0.0000 0.5000
0.5000 0.5000 0.0000
0.5000 0.5000 0.5000
```

Computed properties:
relative energy among the computed polymorphs	0	meV per atom
SG	Pm-3m (221)
formation energy without anion corrections	10.72	eV/f.u.

***

[3]
Y2ZrTl: relaxed, GGA-PBE.

The structure in POSCAR format:
```
Y2ZrTl
1.0
3.4954 0.0000 0.0000
0.0000 4.5629 0.0000
0.0000 0.0000 6.8105
Y Zr Tl
2 1 1
direct
0.0000 0.0000 0.2456
0.0000 0.0000 0.7544
0.5000 0.5000 0.0000
0.5000 0.5000 0.5000
```

Computed properties:
relative energy among the computed polymorphs	44	meV per atom
calculated formation energy	-0.0905	eV per atom
SG	Pmmm (47)

***

[4]
Nd3GaGe6Rh2: relaxed, GGA-PBE.

The structure in POSCAR format:
```
Nd3GaGe6Rh2
1.0
5.9058 0.0000 0.0000
-2.9529 5.1146 0.0000
0.0000 0.0000 8.5181
Nd Ga Ge Rh
3 1 6 2
direct
0.0000 0.0000 0.0000
0.3333 0.6667 0.6086
0.6667 0.3333 0.3914
0.0000 0.0000 0.5000
0.1858 0.3716 0.2695
0.1858 0.8142 0.2695
0.3716 0.1858 0.7305
0.6284 0.8142 0.2695
0.8142 0.1858 0.7305
0.8142 0.6284 0.7305
0.3333 0.6667 0.0320
0.6667 0.3333 0.9680
```

Computed properties:
calculated formation energy	-0.3320	eV per atom
SG	P-3m1 (164)

***

[5]
Pm2In2Ge: relaxed, GGA-PBE.

The structure in POSCAR format:
```
Pm2In2Ge
1.0
-2.0044 2.0044 8.8591
2.0044 -2.0044 8.8591
2.0044 2.0044 -8.8591
Pm In Ge
2 2 1
direct
0.0890 0.0890 0.0000
0.9110 0.9110 0.0000
0.2500 0.7500 0.5000
0.7500 0.2500 0.5000
0.5000 0.5000 0.0000
```

Computed properties:
calculated formation energy	-0.2351	eV per atom
SG	I4/mmm (139)

***

[6]
SrV2WCl: relaxed, GGA-PBE.

The structure in POSCAR format:
```
SrV2WCl
1.0
4.7832 0.0000 0.0000
0.0000 4.7832 0.0000
0.0000 0.0000 4.9818
Sr V W Cl
1 2 1 1
direct
0.0000 0.0000 0.0000
0.0000 0.5000 0.0000
0.5000 0.0000 0.0000
0.0000 0.0000 0.5000
0.5000 0.5000 0.5000
```

Computed properties:
SG	P4/mmm (123)
formation energy without anion corrections	15.62	eV/f.u.

***

[7]
Th2HgOs: relaxed, GGA-PBE.

The structure in POSCAR format:
```
Th2HgOs
1.0
2.0724 1.1965 7.8393
-2.0724 1.1965 7.8393
0.0000 -2.3930 7.8393
Th Hg Os
2 1 1
direct
0.2316 0.2316 0.2316
0.7684 0.7684 0.7684
0.0000 0.0000 0.0000
0.5000 0.5000 0.5000
```

Computed properties:
relative energy among the computed polymorphs	0	meV per atom
calculated formation energy	-0.3375	eV per atom
SG	R-3m (166)

***

[8]
LiZr2Pb: relaxed, GGA-PBE.

The structure in POSCAR format:
```
LiZr2Pb
1.0
0.0000 3.5649 3.5649
3.5649 0.0000 3.5649
3.5649 3.5649 0.0000
Li Zr Pb
1 2 1
direct
0.0000 0.0000 0.0000
0.2500 0.2500 0.2500
0.5000 0.5000 0.5000
0.7500 0.7500 0.7500
```

Computed properties:
calculated formation energy	0.1911	eV per atom
SG	F-43m (216)

***

[9]
LiGdSnIr: relaxed, GGA-PBE.

The structure in POSCAR format:
```
LiGdSnIr
1.0
0.0000 3.3700 3.3700
3.3700 0.0000 3.3700
3.3700 3.3700 0.0000
Li Gd Sn Ir
1 1 1 1
direct
0.0000 0.0000 0.0000
0.2500 0.2500 0.2500
0.7500 0.7500 0.7500
0.5000 0.5000 0.5000
```

Computed properties:
calculated formation energy	-0.6335	eV per atom
SG	F-43m (216)

***

[10]
Mg2IrPt: relaxed, GGA-PBE.

The structure in POSCAR format:
```
Mg2IrPt
1.0
4.3800 0.0000 0.0000
0.0000 4.3800 0.0000
0.0000 0.0000 3.2169
Mg Ir Pt
2 1 1
direct
0.0000 0.5000 0.0000
0.5000 0.0000 0.0000
0.0000 0.0000 0.5000
0.5000 0.5000 0.5000
```

Computed properties:
calculated formation energy	-0.5917	eV per atom
SG	P4/mmm (123)

***

[11]
Pa2ZnSb: relaxed, GGA-PBE.

The structure in POSCAR format:
```
Pa2ZnSb
1.0
3.9321 0.0000 0.0000
0.0000 3.9321 0.0000
0.0000 0.0000 6.1924
Pa Zn Sb
2 1 1
direct
0.0000 0.0000 0.2285
0.0000 0.0000 0.7715
0.5000 0.5000 0.0000
0.5000 0.5000 0.5000
```

Computed properties:
relative energy among the computed polymorphs	15	meV per atom
SG	P4/mmm (123)
formation energy without anion corrections	-0.52	eV/f.u.

***

[12]
YTl3Ni: relaxed, GGA-PBE.

The structure in POSCAR format:
```
YTl3Ni
1.0
5.0592 0.0000 0.0000
0.0000 5.0592 0.0000
0.0000 0.0000 5.0592
Y Tl Ni
1 3 1
direct
0.0000 0.0000 0.0000
0.0000 0.5000 0.5000
0.5000 0.0000 0.5000
0.5000 0.5000 0.0000
0.5000 0.5000 0.5000
```

Computed properties:
relative energy among the computed polymorphs	0	meV per atom
calculated formation energy	0.0903	eV per atom
SG	Pm-3m (221)

***

[13]
BC3: relaxed, GGA-PBE.

The structure in POSCAR format:
```
BC3
1.0
3.8727 0.0000 0.0000
0.0000 2.5653 0.0000
-0.0370 0.0000 4.9923
B C
2 6
direct
0.1483 0.0000 0.3552
0.8517 0.0000 0.6448
0.1439 0.0000 0.8808
0.3696 0.5000 0.8796
0.3992 0.5000 0.3731
0.6008 0.5000 0.6269
0.6304 0.5000 0.1204
0.8561 0.0000 0.1192
```

Computed properties:
relative energy among the computed polymorphs	85	meV per atom
calculated formation energy	0.3252	eV per atom
SG	P2/m (10)

***

[14]
MnTeAu2: relaxed, GGA-PBE.

The structure in POSCAR format:
```
MnTeAu2
1.0
1.6918 0.9768 8.4166
-1.6918 0.9768 8.4166
0.0000 -1.9536 8.4166
Mn Te Au
1 1 2
direct
0.0000 0.0000 0.0000
0.5000 0.5000 0.5000
0.2611 0.2611 0.2611
0.7389 0.7389 0.7389
```

Computed properties:
SG	R-3m (166)
formation energy without anion corrections	0.60	eV/f.u.

***

[15]
Rb2U3HgTe8: relaxed, GGA-PBE.

The structure in POSCAR format:
```
Rb2U3HgTe8
1.0
4.4655 2.5782 9.1121
-4.4655 2.5782 9.1121
0.0000 -5.1564 9.1121
Rb U Hg Te
2 3 1 8
direct
0.0000 0.0000 0.0000
0.3584 0.3584 0.3584
0.5041 0.9992 0.9992
0.9992 0.5041 0.9992
0.9992 0.9992 0.5041
0.6405 0.6405 0.6405
0.2094 0.7355 0.7355
0.2281 0.2281 0.2281
0.2626 0.2626 0.7976
0.2626 0.7976 0.2626
0.7355 0.2094 0.7355
0.7355 0.7355 0.2094
0.7720 0.7720 0.7720
0.7976 0.2626 0.2626
```

Computed properties:
SG	R3m (160)
formation energy without anion corrections	-8.57	eV/f.u.

***

[16]
Dy8ErSc6: relaxed, GGA-PBE.

The structure in POSCAR format:
```
Dy8ErSc6
1.0
4.6879 2.7065 5.7184
-4.6879 2.7065 5.7184
0.0000 -5.4131 5.7184
Dy Er Sc
8 1 6
direct
0.0924 0.0924 0.0924
0.1383 0.2718 0.5656
0.2718 0.5656 0.1383
0.4344 0.8617 0.7282
0.5656 0.1383 0.2718
0.7282 0.4344 0.8617
0.8617 0.7282 0.4344
0.9076 0.9076 0.9076
0.5000 0.5000 0.5000
0.1158 0.5561 0.7900
0.2100 0.8842 0.4439
0.4439 0.2100 0.8842
0.5561 0.7900 0.1158
0.7900 0.1158 0.5561
0.8842 0.4439 0.2100
```

Computed properties:
relative energy among the computed polymorphs	0	meV per atom
calculated formation energy	0.1883	eV per atom
SG	R-3 (148)

***

[17]
HoV2B6: relaxed, GGA-PBE.

The structure in POSCAR format:
```
HoV2B6
1.0
5.3395 0.0000 0.0000
-2.6697 4.6241 0.0000
0.0000 0.0000 3.3376
Ho V B
1 2 6
direct
0.0000 0.0000 0.0000
0.3333 0.6667 0.0000
0.6667 0.3333 0.0000
0.0000 0.3420 0.5000
0.0000 0.6580 0.5000
0.3420 0.0000 0.5000
0.3420 0.3420 0.5000
0.6580 0.0000 0.5000
0.6580 0.6580 0.5000
```

Computed properties:
calculated formation energy	-0.5930	eV per atom
SG	P6/mmm (191)

***

[18]
Li2BeBr4: relaxed, GGA-PBE.

The structure in POSCAR format:
```
Li2BeBr4
1.0
-3.0950 3.0950 5.8772
3.0950 -3.0950 5.8772
3.0950 3.0950 -5.8772
Li Be Br
2 1 4
direct
0.0000 0.5000 0.5000
0.5000 0.0000 0.5000
0.0000 0.0000 0.0000
0.1009 0.6853 0.0000
0.3147 0.3147 0.4156
0.6853 0.1009 0.0000
0.8991 0.8991 0.5844
```

Computed properties:
SG	I-42m (121)
formation energy without anion corrections	-9.19	eV/f.u.

***

[19]
SrAlIBr4: relaxed, GGA-PBE.

The structure in POSCAR format:
```
SrAlIBr4
1.0
5.8831 -5.2165 0.0000
5.8831 5.2165 0.0000
-2.4678 0.0000 10.5067
Sr Al I Br
2 2 2 8
direct
0.1978 0.1978 0.0483
0.8022 0.8022 0.9517
0.3689 0.3689 0.7576
0.6311 0.6311 0.2424
0.0030 0.0030 0.2080
0.9970 0.9970 0.7920
0.1615 0.5096 0.8891
0.2475 0.2475 0.5632
0.4364 0.4364 0.2591
0.4904 0.8385 0.1109
0.5096 0.1615 0.8891
0.5636 0.5636 0.7409
0.7525 0.7525 0.4368
0.8385 0.4904 0.1109
```

Computed properties:
SG	C2/m (12)
formation energy without anion corrections	-9.84	eV/f.u.

***

[20]
Ce4ThPa: relaxed, GGA-PBE.

The structure in POSCAR format:
```
Ce4ThPa
1.0
3.3794 0.0000 0.0000
0.0000 3.3794 0.0000
0.0000 0.0000 14.2126
Ce Th Pa
4 1 1
direct
0.0000 0.0000 0.1604
0.0000 0.0000 0.8396
0.5000 0.5000 0.3257
0.5000 0.5000 0.6743
0.0000 0.0000 0.5000
0.5000 0.5000 0.0000
```

Computed properties:
relative energy among the computed polymorphs	0	meV per atom
calculated formation energy	0.0335	eV per atom
SG	P4/mmm (123)

***

[21]
AcCe3Hg4: relaxed, GGA-PBE.

The structure in POSCAR format:
```
AcCe3Hg4
1.0
3.9029 0.0000 0.0000
0.0000 3.9029 0.0000
0.0000 0.0000 15.3634
Ac Ce Hg
1 3 4
direct
0.0000 0.0000 0.0000
0.0000 0.0000 0.2604
0.0000 0.0000 0.5000
0.0000 0.0000 0.7396
0.5000 0.5000 0.1398
0.5000 0.5000 0.3795
0.5000 0.5000 0.6205
0.5000 0.5000 0.8602
```

Computed properties:
calculated formation energy	-0.3255	eV per atom
SG	P4/mmm (123)

***

[22]
CeMn10Cr2: relaxed, GGA-PBE.

The structure in POSCAR format:
```
CeMn10Cr2
1.0
4.2221 -4.7659 0.0000
4.2221 4.7659 0.0000
0.0000 0.0000 8.0015
Ce Mn Cr
2 20 4
direct
0.1145 0.8855 0.7500
0.8855 0.1145 0.2500
0.1218 0.3806 0.7500
0.1764 0.8236 0.1056
0.1764 0.8236 0.3944
0.2310 0.2310 0.0000
0.2310 0.2310 0.5000
0.2610 0.4746 0.2500
0.3806 0.1218 0.2500
0.3981 0.6019 0.5724
0.3981 0.6019 0.9276
0.4746 0.2610 0.7500
0.5254 0.7390 0.2500
0.6019 0.3981 0.0724
0.6019 0.3981 0.4276
0.6194 0.8782 0.7500
0.7390 0.5254 0.7500
0.7690 0.7690 0.0000
0.7690 0.7690 0.5000
0.8236 0.1764 0.6056
0.8236 0.1764 0.8944
0.8782 0.6194 0.2500
0.0000 0.5000 0.0000
0.0000 0.5000 0.5000
0.5000 0.0000 0.0000
0.5000 0.0000 0.5000
```

Computed properties:
calculated formation energy	0.0591	eV per atom
SG	Cmcm (63)

***

[23]
K2HgPb: relaxed, GGA-PBE.

The structure in POSCAR format:
```
K2HgPb
1.0
0.0000 4.0400 4.0400
4.0400 0.0000 4.0400
4.0400 4.0400 0.0000
K Hg Pb
2 1 1
direct
0.0000 0.0000 0.0000
0.2500 0.2500 0.2500
0.7500 0.7500 0.7500
0.5000 0.5000 0.5000
```

Computed properties:
calculated formation energy	-0.1388	eV per atom
SG	F-43m (216)

***

[24]
TeMoCl2: relaxed, GGA-PBE.

The structure in POSCAR format:
```
TeMoCl2
1.0
3.0589 0.0000 0.0000
0.0000 3.0589 0.0000
0.0000 0.0000 10.4499
Te Mo Cl
1 1 2
direct
0.0000 0.0000 0.0000
0.0000 0.0000 0.5000
0.5000 0.5000 0.3585
0.5000 0.5000 0.6415
```

Computed properties:
relative energy among the computed polymorphs	433	meV per atom
SG	P4/mmm (123)
formation energy without anion corrections	0.02	eV/f.u.

***

[25]
PmTh3N4: relaxed, GGA-PBE.

The structure in POSCAR format:
```
PmTh3N4
1.0
3.6531 -5.1594 0.0000
3.6531 5.1594 0.0000
0.0000 0.0000 3.6502
Pm Th N
1 3 4
direct
0.0000 0.0000 0.0000
0.0000 0.5000 0.5000
0.5000 0.0000 0.5000
0.5000 0.5000 0.0000
0.2530 0.7470 0.0000
0.2577 0.2577 0.5000
0.7423 0.7423 0.5000
0.7470 0.2530 0.0000
```

Computed properties:
SG	Cmmm (65)
formation energy without anion corrections	-12.42	eV/f.u.